No. 1
Computed, not measured: CeSmPd after structural relaxation at the GGA-PBE level of DFT.

Output
For the formation energy, the calculation gives -281.3 meV/atom. Its symmetry is P3m1 (156). The relative energy among the computed polymorphs is 121 meV per atom.

abc: 4.794 4.794 3.733
angles: 90.00 90.00 120.00
Positions (direct):
Ce  0.000  0.000  0.000
Sm  0.667  0.333  0.384
Pd  0.333  0.667  0.703

No. 2
Computed, not measured: Ce2Sm2Pd15 after structural relaxation at the GGA-PBE level of DFT.

Output
For the formation energy, the calculation gives -554.4 meV/atom. Its symmetry is R-3m (166).

abc: 7.135 7.135 7.135
angles: 80.88 80.88 80.88
Positions (direct):
Ce  0.104  0.104  0.104
Ce  0.896  0.896  0.896
Sm  0.364  0.364  0.364
Sm  0.636  0.636  0.636
Pd  0.000  0.000  0.500
Pd  0.000  0.317  0.683
Pd  0.000  0.500  0.000
Pd  0.000  0.683  0.317
Pd  0.164  0.655  0.655
Pd  0.317  0.000  0.683
Pd  0.317  0.683  0.000
Pd  0.345  0.345  0.836
Pd  0.345  0.836  0.345
Pd  0.500  0.000  0.000
Pd  0.655  0.164  0.655
Pd  0.655  0.655  0.164
Pd  0.683  0.000  0.317
Pd  0.683  0.317  0.000
Pd  0.836  0.345  0.345

No. 3
Computed, not measured: CeSmTcPd after structural relaxation at the GGA-PBE level of DFT.

Output
For the formation energy, the calculation gives -289.1 meV/atom. Its symmetry is F-43m (216).

abc: 4.973 4.973 4.973
angles: 60.00 60.00 60.00
Positions (direct):
Ce  0.000  0.000  0.000
Sm  0.500  0.500  0.500
Tc  0.750  0.750  0.750
Pd  0.250  0.250  0.250